(1)
A crystal of Li3Co4O8 relaxed with PBEsol. Source: Alexandria via LeMat-Bulk, functional meta-GGA SCAN.

```
30
Lattice="-3.398 -4.375 -0.814 4.239 -0.401 3.720 -4.719 6.153 5.877" Properties=species:S:1:pos:R:3 pbc="T T T"
Li -1.820 -0.750 1.992
Li -3.518 -2.938 1.583
Li -2.060 2.126 6.792
Li -1.939 0.689 4.392
Li -3.758 -0.062 6.383
Li -2.178 3.566 9.190
O -4.036 0.540 4.388
O 0.158 0.836 4.395
O 2.128 -0.567 3.714
O -6.006 1.943 5.070
O -1.527 -1.333 3.991
O -4.321 4.113 5.473
O 0.037 2.285 6.814
O 0.442 -2.737 3.310
O -3.915 -0.909 1.969
O -4.156 1.966 6.768
O 0.277 -0.590 2.015
O -2.438 4.135 7.201
O -1.681 0.117 6.381
O -2.351 2.710 4.792
O -1.441 -2.758 1.582
O -2.198 1.259 2.402
Co 0.300 -0.950 3.852
Co 0.420 -2.388 1.453
Co -1.279 -4.576 1.046
Co -2.360 3.076 2.939
Co -2.480 4.514 5.338
Co -4.179 2.327 4.931
Co -1.399 -3.138 3.445
Co -4.059 0.889 2.532
```

Fermi-level density of states = 6.1 states/eV per cell
size of the total moment = 1.04 μB per formula unit
polymorph energy (0 for the lowest one) = 0.0 kJ/mol of formula units
ρ = 5.07 g/cm3
formation energy (no corrections) = -1737.6 meV per atom
volume = 251.9 Å³/cell

***

(2)
A crystal of LiReO3 relaxed with PBEsol. Source: Alexandria via LeMat-Bulk, functional meta-GGA SCAN.

```
10
Lattice="5.077 0.000 0.000 2.538 4.397 0.000 2.538 1.466 4.504" Properties=species:S:1:pos:R:3 pbc="T T T"
O 4.085 4.183 1.211
O 6.035 1.698 3.463
O 3.530 2.718 3.463
O 4.488 1.446 1.211
O 6.657 3.164 1.211
O 5.665 4.377 3.463
Re 7.615 4.397 0.038
Re 5.077 2.931 2.290
Li 7.615 4.397 2.936
Li 2.538 1.466 0.684
```

Fermi-level density of states = 5.1 states/eV per cell
size of the total moment = 0.00 μB per formula unit
ρ = 7.97 g/cm3
formation energy (no corrections) = -1784.1 meV per atom
volume = 100.5 Å³/cell

***

(3)
A crystal of KSr2P relaxed with PBEsol. Source: Alexandria via LeMat-Bulk, functional meta-GGA SCAN.

```
4
Lattice="-4.103 -1.483 0.676 -0.732 -3.209 2.943 -3.049 6.132 9.202" Properties=species:S:1:pos:R:3 pbc="T T T"
Sr -4.546 -1.130 5.900
Sr -3.339 2.570 6.921
P -1.525 3.066 4.601
K -2.418 -2.346 1.809
```

Fermi-level density of states = 2.2 states/eV per cell
size of the total moment = 0.18 μB per formula unit
ρ = 2.16 g/cm3
final energy = -16.55 eV per atom
volume = 188.9 Å³/cell

***

(4)
A crystal of CaTiCrP3O12 relaxed with PBEsol. Source: Alexandria via LeMat-Bulk, functional meta-GGA SCAN.

```
36
Lattice="-0.015 7.508 -4.041 -5.993 1.695 -5.824 -6.229 5.832 1.864" Properties=species:S:1:pos:R:3 pbc="T T T"
O -6.194 6.938 -6.282
O -8.315 4.747 -3.584
O -3.627 8.056 -1.515
O -2.074 8.654 -3.780
O -4.887 4.641 -2.196
O -6.074 8.068 -1.696
O -2.206 1.867 -2.079
O -7.209 8.542 -7.932
O -1.216 4.456 -2.657
O -11.002 10.621 -5.370
O -7.325 9.491 -3.485
O -10.194 6.353 -4.197
O -5.951 3.315 -4.095
O -4.094 7.973 -5.115
O -9.995 13.141 -5.896
O -8.174 7.098 -2.897
O -4.892 5.565 -4.477
O -3.504 3.481 -4.010
O -8.642 6.971 -6.527
O -3.886 10.326 -4.426
O -7.331 10.350 -5.784
O -6.318 11.755 -3.917
O -8.765 11.525 -4.020
O -5.007 6.514 -0.030
P -7.446 10.771 -4.333
P -3.051 9.100 -4.883
P -7.325 7.130 -7.331
P -9.147 5.929 -3.130
P -4.903 7.908 -0.711
P -4.781 4.230 -3.689
Cr -7.953 8.718 -1.764
Cr -7.843 10.403 -7.629
Ca -6.141 7.532 -3.974
Ca -6.030 9.217 -9.838
Ti -4.270 6.309 -6.254
Ti -4.381 4.623 -0.389
```

Fermi-level density of states = 0.0 states/eV per cell
size of the total moment = 3.00 μB per formula unit
ρ = 3.11 g/cm3
formation energy (no corrections) = -2842.8 meV per atom
volume = 454.3 Å³/cell

***

(5)
A crystal of SrMg2Se relaxed with PBEsol. Source: Alexandria via LeMat-Bulk, functional meta-GGA SCAN.

```
4
Lattice="-3.447 0.616 -0.765 -0.977 -2.444 2.433 -0.237 5.843 5.774" Properties=species:S:1:pos:R:3 pbc="T T T"
Mg -0.194 4.773 4.718
Mg -0.043 1.069 1.057
Se -2.212 -0.914 0.834
Sr -2.331 2.008 3.721
```

Fermi-level density of states = 0.9 states/eV per cell
size of the total moment = 0.00 μB per formula unit
ρ = 3.38 g/cm3
formation energy (no corrections) = -491.2 meV per atom
volume = 105.6 Å³/cell

***

(6)
A crystal of YMo2Rh relaxed with PBEsol. Source: Alexandria via LeMat-Bulk, functional meta-GGA SCAN.

```
4
Lattice="3.266 0.000 0.000 0.000 4.270 0.000 0.000 0.000 4.881" Properties=species:S:1:pos:R:3 pbc="T T T"
Rh 1.633 0.000 2.440
Y 0.000 2.135 2.440
Mo 0.000 0.000 0.000
Mo 1.633 2.135 0.000
```

Fermi-level density of states = 3.7 states/eV per cell
size of the total moment = 0.00 μB per formula unit
polymorph energy (0 for the lowest one) = 0.0 kJ/mol of formula units
ρ = 9.36 g/cm3
volume = 68.1 Å³/cell

***

(7)
A crystal of Zn2RePOs relaxed with PBEsol. Source: Alexandria via LeMat-Bulk, functional meta-GGA SCAN.

```
5
Lattice="-0.043 -3.211 2.827 1.452 -2.732 -3.081 4.117 0.928 1.117" Properties=species:S:1:pos:R:3 pbc="T T T"
Re 2.763 -2.507 0.431
Os -0.022 -1.606 1.413
Zn 0.726 -1.366 -1.541
Zn 2.059 0.464 0.559
P 0.000 0.000 0.000
```

Fermi-level density of states = 2.8 states/eV per cell
size of the total moment = 2.80 μB per formula unit
ρ = 10.96 g/cm3
final energy = -34.73 eV per atom
volume = 81.6 Å³/cell

***

(8)
A crystal of CrAg2Ru relaxed with PBEsol. Source: Alexandria via LeMat-Bulk, functional meta-GGA SCAN.

```
4
Lattice="4.425 0.000 0.000 2.212 3.832 0.000 2.212 1.277 3.613" Properties=species:S:1:pos:R:3 pbc="T T T"
Cr 0.000 0.000 0.000
Ag 6.637 3.832 2.710
Ag 2.212 1.277 0.903
Ru 4.425 2.555 1.806
```

Fermi-level density of states = 3.2 states/eV per cell
size of the total moment = 2.48 μB per formula unit
polymorph energy (0 for the lowest one) = 62.6 kJ/mol of formula units
ρ = 10.00 g/cm3
volume = 61.3 Å³/cell

***

(9)
A crystal of Cu3PbF relaxed with PBEsol. Source: Alexandria via LeMat-Bulk, functional meta-GGA SCAN.

```
5
Lattice="4.212 0.000 0.000 0.000 4.212 0.000 0.000 0.000 4.212" Properties=species:S:1:pos:R:3 pbc="T T T"
Cu 0.000 2.106 0.000
Cu 0.000 0.000 2.106
Cu 2.106 0.000 0.000
F 0.000 0.000 0.000
Pb 2.106 2.106 2.106
```

Fermi-level density of states = 1.7 states/eV per cell
size of the total moment = 0.00 μB per formula unit
ρ = 9.26 g/cm3
formation energy (no corrections) = 51.7 meV per atom
volume = 74.7 Å³/cell

***

(10)
A crystal of Al9Co2Ni relaxed with PBEsol. Source: Alexandria via LeMat-Bulk, functional meta-GGA SCAN.

```
48
Lattice="7.485 0.000 0.000 3.742 9.714 0.023 3.742 2.389 9.416" Properties=species:S:1:pos:R:3 pbc="T T T"
Al 7.485 5.909 7.059
Al 11.227 9.112 7.107
Al 6.083 7.956 8.409
Al 8.886 7.956 8.409
Al 8.979 2.435 7.117
Al 5.990 7.496 0.628
Al 3.742 8.486 1.598
Al 7.485 8.286 4.012
Al 8.979 4.607 8.811
Al 5.990 2.435 7.117
Al 5.990 9.668 2.322
Al 3.742 5.786 1.862
Al 3.742 3.215 5.158
Al 11.227 6.317 7.578
Al 3.742 6.051 4.720
Al 8.886 10.093 5.668
Al 5.719 7.243 5.649
Al 6.083 4.147 1.031
Al 8.886 4.147 1.031
Al 3.742 3.617 7.842
Al 8.979 7.496 0.628
Al 6.083 10.093 5.668
Al 5.719 4.860 3.790
Al 7.485 1.640 1.279
Al 8.886 2.010 3.771
Al 6.083 2.010 3.771
Al 9.250 7.243 5.649
Al 3.742 0.000 0.000
Al 9.250 4.860 3.790
Al 11.227 8.888 4.281
Al 5.990 4.607 8.811
Al 8.979 9.668 2.322
Al 3.742 2.991 2.332
Al 7.485 10.462 8.160
Al 7.485 6.194 2.380
Al 7.485 3.817 5.427
Co 5.278 4.816 6.303
Co 9.691 4.816 6.303
Co 5.278 7.287 3.136
Co 6.094 0.000 0.000
Co 7.485 8.450 6.590
Co 7.485 3.653 2.849
Co 1.390 0.000 0.000
Co 9.691 7.287 3.136
Ni 11.227 8.160 9.214
Ni 3.742 3.943 0.225
Ni 11.227 10.924 5.670
Ni 3.742 1.179 3.769
```

Fermi-level density of states = 14.5 states/eV per cell
size of the total moment = 0.00 μB per formula unit
ρ = 4.07 g/cm3
final energy = -10.46 eV per atom
volume = 684.2 Å³/cell

***

(11)
A crystal of SrTiI2O relaxed with PBEsol. Source: Alexandria via LeMat-Bulk, functional meta-GGA SCAN.

```
5
Lattice="3.810 0.000 0.000 0.000 5.782 0.000 0.000 0.000 5.782" Properties=species:S:1:pos:R:3 pbc="T T T"
Sr 1.905 2.891 2.891
I 0.000 0.000 2.891
I 0.000 2.891 0.000
O 1.905 0.000 0.000
Ti 0.000 0.000 0.000
```

Fermi-level density of states = 2.2 states/eV per cell
size of the total moment = 0.92 μB per formula unit
ρ = 5.28 g/cm3
formation energy (no corrections) = -1592.1 meV per atom
volume = 127.4 Å³/cell

***

(12)
A crystal of Nb2SbP2 relaxed with PBEsol. Source: Alexandria via LeMat-Bulk, functional meta-GGA SCAN.

```
5
Lattice="3.543 0.000 0.000 0.000 3.543 0.000 -1.771 -1.771 6.752" Properties=species:S:1:pos:R:3 pbc="T T T"
P 0.000 1.771 3.376
P 1.771 0.000 3.376
Sb 0.000 0.000 0.000
Nb 0.000 0.000 5.183
Nb 1.771 1.771 1.569
```

Fermi-level density of states = 4.0 states/eV per cell
size of the total moment = 0.00 μB per formula unit
ρ = 7.24 g/cm3
formation energy (no corrections) = -405.3 meV per atom
volume = 84.8 Å³/cell